LiAl2Pb | PBE | optimized geometry

Cell and atoms, written as POSCAR:
```
LiAl2Pb
1.0
-2.079 0.253 2.597
0.790 -3.113 0.903
5.591 2.643 4.218
Li Al Pb
1 2 1
Direct
0.500 0.500 0.250
0.000 0.000 0.058
0.000 0.000 0.442
0.500 0.500 0.750
```

Summary:
space group: Cmmm


LiAlPb | PBE | optimized geometry

Cell and atoms, written as POSCAR:
```
LiAlPb
1.0
-0.186 -4.431 -4.166
-0.597 -1.460 2.884
-6.707 1.583 -0.589
Al Pb Li
2 2 2
Direct
0.940 0.720 0.149
0.060 0.280 0.851
0.414 0.456 0.226
0.586 0.544 0.774
0.796 0.148 0.458
0.204 0.852 0.542
```

Summary:
space group: P-1


LiAlPb | PBE | optimized geometry

Cell and atoms, written as POSCAR:
```
LiAlPb
1.0
15.594 0.000 -0.138
4.928 1.656 -2.640
-4.928 1.656 2.640
Li Pb Al
2 2 2
Direct
0.543 0.556 0.444
0.762 0.612 0.388
0.443 0.411 0.589
0.135 0.040 0.960
0.824 0.808 0.192
0.021 0.913 0.087
```

Summary:
space group: Cm


LiAlPb | PBE | optimized geometry

Cell and atoms, written as POSCAR:
```
LiAlPb
1.0
3.424 0.000 0.000
-1.712 2.965 0.000
0.000 0.000 13.552
Pb Al Li
2 2 2
Direct
0.611 0.223 0.672
0.611 0.223 0.328
0.278 0.555 0.842
0.278 0.555 0.158
0.611 0.221 0.000
0.278 0.557 0.500
```

Summary:
space group: Amm2


LiAlPb | PBE | optimized geometry

Cell and atoms, written as POSCAR:
```
LiAlPb
1.0
3.941 -2.275 0.000
0.000 4.551 0.000
0.000 0.000 11.035
Pb Al Li
2 2 2
Direct
0.000 0.000 0.500
0.000 0.000 0.000
0.000 0.000 0.250
0.000 0.000 0.750
0.667 0.333 0.750
0.333 0.667 0.250
```

Summary:
space group: P6_3/mmc


LiAlPb | PBE | optimized geometry

Cell and atoms, written as POSCAR:
```
LiAlPb
1.0
3.002 0.048 -7.175
-5.063 2.862 5.164
2.817 2.822 1.198
Pb Li Al
2 2 2
Direct
0.909 0.091 0.250
0.091 0.909 0.750
0.603 0.397 0.250
0.397 0.603 0.750
0.250 0.750 0.250
0.750 0.250 0.750
```

Summary:
space group: Cmcm


LiAlPb | PBE | optimized geometry

Cell and atoms, written as POSCAR:
```
LiAlPb
1.0
-3.232 1.742 -3.339
-2.440 -1.883 1.371
0.637 6.093 5.275
Al Li Pb
2 2 2
Direct
0.225 0.752 0.006
0.775 0.248 0.994
0.175 0.412 0.325
0.825 0.588 0.675
0.326 0.093 0.685
0.674 0.907 0.315
```

Summary:
space group: P-1


LiAl2Pb | PBE | optimized geometry

Cell and atoms, written as POSCAR:
```
LiAl2Pb
1.0
-2.412 -1.278 -2.396
-1.938 -1.434 2.716
-3.286 5.326 0.468
Li Al Pb
1 2 1
Direct
0.000 0.000 0.478
0.500 0.500 0.232
0.000 0.000 0.040
0.500 0.500 0.750
```

Summary:
space group: P4mm


LiAl2Pb | PBE | optimized geometry

Cell and atoms, written as POSCAR:
```
LiAl2Pb
1.0
3.277 0.000 0.000
0.000 4.639 0.000
0.000 0.000 5.608
Al Pb Li
2 1 1
Direct
0.000 0.000 0.007
0.000 0.000 0.493
0.500 0.500 0.750
0.500 0.500 0.250
```

Summary:
space group: Pmmm


Li6AlPb5 | PBE | optimized geometry

Cell and atoms, written as POSCAR:
```
Li6AlPb5
1.0
4.384 0.021 -1.269
-1.124 7.226 -3.765
0.088 -0.293 8.398
Li Pb Al
6 5 1
Direct
0.500 0.257 0.000
0.836 0.587 0.673
0.164 0.413 0.327
0.836 0.085 0.673
0.500 0.743 0.000
0.164 0.915 0.327
0.000 0.500 0.000
0.651 0.150 0.299
0.349 0.850 0.701
0.670 0.671 0.342
0.330 0.329 0.658
0.000 0.000 0.000
```

Summary:
space group: C2/m


LiAlPb | PBE | optimized geometry

Cell and atoms, written as POSCAR:
```
LiAlPb
1.0
-2.721 -5.144 -3.278
-1.024 -6.542 -0.880
-2.764 -0.594 1.612
Pb Al Li
1 1 1
Direct
0.665 0.665 0.335
0.987 0.987 0.013
0.348 0.348 0.652
```

Summary:
space group: I4mm


LiAlPb | PBE | optimized geometry

Cell and atoms, written as POSCAR:
```
LiAlPb
1.0
4.015 -2.318 0.000
0.000 4.636 0.000
0.000 0.000 7.574
Al Li Pb
2 2 2
Direct
0.333 0.667 0.174
0.333 0.667 0.826
0.667 0.333 0.500
0.667 0.333 0.000
0.000 0.000 0.290
0.000 0.000 0.710
```

Summary:
space group: P-6m2


ΔE_f (computed, kJ/mol of formula units): 51; -4; -3; 18; 179; -15; -20; 18; 38; -236; 4; -5